A plane-wave DFT calculation with PBE was carried out for Sm3YPb2S after structural relaxation.

a b c (Å): 5.092 5.186 16.504
angles (deg): 90.00 90.00 90.00
Space group Immm (No. 71)
One atom of each set of equivalent atoms:
Sm: 0.000 0.000 0.000
Sm: 0.000 0.500 0.168
Y: 0.000 0.000 0.500
Pb: 0.000 0.500 0.363
S: 0.000 0.500 0.000

Output
The size of the total moment is 0.0 μB per cell. The raw total energy comes out at -5.4073 eV/atom. Its volume is 217.92 Å³/f.u. The uncorrected formation energy comes out at -0.81 eV/atom.